Record 1
A geometry-optimized Pm3Nd5Sc2 structure, computed with PBE.

extended XYZ file:
```
20
Lattice="8.320 2.055 -4.096 0.503 8.559 -4.085 -1.780 -2.158 10.960" Properties=species:S:1:pos:R:3 pbc="T T T"
Pm 6.050 5.335 -1.478
Pm 0.253 6.247 5.936
Pm -1.151 0.531 8.097
Pm 0.992 3.121 4.258
Pm 8.194 7.925 -5.317
Pm 6.789 2.210 -3.156
Nd 0.049 6.012 2.398
Nd 3.954 2.748 2.327
Nd 4.154 2.988 5.869
Nd 0.819 2.892 0.696
Nd 5.145 8.273 -3.394
Nd 1.897 0.184 6.173
Nd 6.994 2.444 0.382
Nd 2.889 5.468 -3.089
Nd 3.089 5.709 0.453
Nd 6.224 5.564 2.084
Sc 3.225 5.925 4.031
Sc 5.325 8.444 0.149
Sc 1.718 0.012 2.631
Sc 3.818 2.531 -1.251
```

Summary:
crystal system = triclinic
symmetry = No. 2
energy of formation = 0.41 eV/f.u.

---

Record 2
A geometry-optimized Pm8Nd6Sc structure, computed with PBE.

extended XYZ file:
```
15
Lattice="9.946 0.000 0.000 4.973 8.613 0.000 4.973 2.871 5.976" Properties=species:S:1:pos:R:3 pbc="T T T"
Pm 7.065 3.373 2.928
Pm 10.557 2.063 3.048
Pm 9.334 9.421 2.928
Pm 13.437 4.432 2.928
Pm 9.946 5.742 1.423
Pm 12.826 8.111 3.048
Pm 6.454 7.052 3.048
Pm 9.946 5.742 4.553
Nd 13.904 6.093 5.830
Nd 6.648 0.732 0.146
Nd 17.608 8.995 5.830
Nd 5.987 5.391 0.146
Nd 13.243 10.752 5.830
Nd 2.283 2.489 0.146
Sc 0.000 0.000 0.000
```

Summary:
crystal system = trigonal
symmetry = No. 148
offset from the most stable computed form = 1.27 kcal/mol of atoms
energy of formation = 2.47 eV/f.u.

---

Record 3
A geometry-optimized Pm7Nd3Sc structure, computed with PBE.

extended XYZ file:
```
22
Lattice="9.780 -2.474 2.207 -5.691 8.329 -2.207 2.540 -1.774 12.333" Properties=species:S:1:pos:R:3 pbc="T T T"
Nd 11.050 -3.361 8.373
Nd 1.378 3.433 8.742
Nd 0.070 4.266 2.575
Nd 9.780 -2.474 2.207
Nd 6.559 -0.185 9.757
Nd 5.251 0.648 3.591
Pm 9.305 -2.118 11.065
Pm -1.383 5.345 7.434
Pm 6.762 1.725 6.624
Pm -2.676 6.199 1.268
Pm 4.814 -1.172 6.574
Pm 8.012 -1.264 4.898
Pm 1.814 5.253 5.758
Pm 3.191 0.512 9.250
Pm 8.117 0.852 12.741
Pm -0.133 2.356 5.709
Pm -1.488 3.229 -0.408
Pm 0.560 6.055 -0.457
Pm 6.069 -1.974 12.790
Pm 3.437 3.569 3.083
Sc 2.044 2.928 0.000
Sc 3.314 2.041 6.166
```

Summary:
crystal system = monoclinic
symmetry = No. 15
offset from the most stable computed form = 0.00 kcal/mol of atoms
energy of formation = 2.11 eV/f.u.

---

Record 4
A geometry-optimized Pm3NdSc3 structure, computed with PBE.

extended XYZ file:
```
14
Lattice="5.565 0.000 0.000 0.000 9.381 0.000 0.000 -4.690 8.124" Properties=species:S:1:pos:R:3 pbc="T T T"
Pm 1.391 2.087 0.410
Pm 4.174 0.688 2.013
Pm 4.174 -3.292 6.522
Pm 4.174 2.603 7.714
Pm 1.391 4.002 6.111
Pm 1.391 7.982 1.602
Sc 1.391 1.359 3.937
Sc 4.174 3.331 4.187
Sc 4.174 6.651 3.145
Sc 4.174 4.089 0.791
Sc 1.391 -1.961 4.979
Sc 1.391 0.602 7.332
Nd 4.174 0.000 5.416
Nd 1.391 4.690 2.708
```

Summary:
crystal system = hexagonal
symmetry = No. 176
offset from the most stable computed form = 0.00 kcal/mol of atoms
energy of formation = 0.38 eV/f.u.

---

Record 5
A geometry-optimized Pm12Nd3Sc structure, computed with PBE.

extended XYZ file:
```
16
Lattice="-4.965 0.542 -1.214 -1.329 -2.057 4.519 -0.036 18.681 8.494" Properties=species:S:1:pos:R:3 pbc="T T T"
Pm -0.678 5.946 5.430
Pm -2.505 11.978 4.716
Pm -3.147 -0.757 1.653
Pm -0.669 1.210 3.277
Pm -3.174 13.326 8.056
Pm -3.156 3.840 3.743
Pm -3.165 8.583 5.899
Pm -0.696 15.414 9.735
Pm -2.514 16.713 6.869
Pm -2.487 2.510 0.411
Pm -2.496 7.246 2.564
Pm -0.687 10.678 7.582
Nd -0.009 4.606 2.094
Nd -0.018 9.340 4.247
Nd -0.027 14.075 6.399
Sc 0.000 0.000 0.000
```

Summary:
crystal system = tetragonal
symmetry = No. 123
energy of formation = 0.35 eV/f.u.

---

Record 6
A geometry-optimized Pm6Nd4Sc structure, computed with PBE.

extended XYZ file:
```
22
Lattice="5.897 0.000 0.000 -2.949 4.865 0.000 0.000 0.000 25.874" Properties=species:S:1:pos:R:3 pbc="T T T"
Nd 0.000 1.433 1.180
Nd 0.000 4.395 9.750
Nd 2.949 3.433 24.694
Nd 0.000 4.395 3.187
Nd 0.000 1.433 11.757
Nd 2.949 0.470 16.125
Nd 2.949 0.470 22.687
Nd 2.949 3.433 14.117
Pm 0.000 1.197 8.160
Pm 0.000 1.976 15.744
Pm 2.949 0.449 19.406
Pm 0.000 4.417 6.469
Pm 2.949 2.889 2.807
Pm 2.949 2.889 10.130
Pm 2.949 0.000 0.000
Pm 0.000 1.976 23.068
Pm 2.949 3.669 17.715
Pm 2.949 3.669 21.097
Pm 2.949 0.000 12.937
Pm 0.000 1.197 4.778
Sc 2.949 2.839 6.469
Sc 0.000 2.026 19.406
```

Summary:
crystal system = orthorhombic
symmetry = No. 63
energy of formation = 1.35 eV/f.u.

---

- Among the records above, which one has the highest energy of formation?
  Pm8Nd6Sc

---

- Which value of energy of formation does entry 4 give?
  0.38 eV/f.u.

---

- Which of these has the lowest energy of formation?
  Pm12Nd3Sc